! CaAl2Ru, optimized geometry, DFT PBEsol; values from VASP
&SYSTEM
  ibrav = 0, nat = 4, ntyp = 3
/
ATOMIC_SPECIES
Ru 101.07 Ru.upf
Ca 40.08 Ca.upf
Al 26.98 Al.upf
CELL_PARAMETERS angstrom
3.1280 0.0000 0.0000
0.0000 4.7968 -0.0018
0.0000 -1.5450 4.5411
ATOMIC_POSITIONS angstrom
Ru 1.5640 1.6259 2.2697
Ca 1.5640 0.0000 0.0000
Al 0.0000 2.3984 -0.0009
Al 0.0000 -0.7725 2.2706
! space group = Cmmm
! N(E_F) = 2.18 states/eV/f.u.
! theoretical density = 4.76 g/cm³
! ΔH_f (0 K) = 83 meV per atom

=====

! CaAl2Ru, optimized geometry, DFT PBEsol; values from VASP
&SYSTEM
  ibrav = 0, nat = 4, ntyp = 3
/
ATOMIC_SPECIES
Ru 101.07 Ru.upf
Ca 40.08 Ca.upf
Al 26.98 Al.upf
CELL_PARAMETERS angstrom
3.1640 0.0000 0.0000
0.0000 4.7125 0.0000
-1.5820 -2.3563 4.6937
ATOMIC_POSITIONS angstrom
Ru 0.0000 2.3563 2.5576
Ca 1.5820 2.3563 0.1882
Al 1.5820 2.3563 4.4585
Al 1.5820 0.0000 2.1833
! space group = Imm2
! N(E_F) = 1.93 states/eV/f.u.
! theoretical density = 4.63 g/cm³
! ΔH_f (0 K) = -2 meV per atom

=====

! CaAlRu2, optimized geometry, DFT PBEsol; values from VASP
&SYSTEM
  ibrav = 0, nat = 4, ntyp = 3
/
ATOMIC_SPECIES
Ru 101.07 Ru.upf
Ca 40.08 Ca.upf
Al 26.98 Al.upf
CELL_PARAMETERS angstrom
-0.1631 -2.9704 0.0951
0.6894 0.1040 4.4334
-4.9786 1.7158 -1.5242
ATOMIC_POSITIONS angstrom
Ru -4.2367 -1.1633 2.9730
Ru -2.0521 0.1956 2.5892
Ca -2.3812 -1.3474 0.4057
Al 0.0285 -1.4190 2.3050
! space group = Cm
! N(E_F) = 4.09 states/eV/f.u.
! theoretical density = 7.00 g/cm³
! ΔH_f (0 K) = 67 meV per atom

=====

! CaAl2Ru, optimized geometry, DFT PBEsol; values from VASP
&SYSTEM
  ibrav = 0, nat = 4, ntyp = 3
/
ATOMIC_SPECIES
Ru 101.07 Ru.upf
Ca 40.08 Ca.upf
Al 26.98 Al.upf
CELL_PARAMETERS angstrom
-2.6838 -0.2856 1.5155
-0.9350 -2.1176 -2.0548
2.9380 -5.3649 4.1919
ATOMIC_POSITIONS angstrom
Ru -0.3404 -3.8840 1.8263
Ca -1.8094 -1.2016 -0.2697
Al 2.0055 -3.6621 2.8614
Al 0.9325 -1.7028 1.3305
! space group = P4/mmm
! N(E_F) = 1.50 states/eV/f.u.
! theoretical density = 4.56 g/cm³
! ΔH_f (0 K) = -419 meV per atom

=====

! Ca2TaAlRu, optimized geometry, DFT PBEsol; values from VASP
&SYSTEM
  ibrav = 0, nat = 5, ntyp = 4
/
ATOMIC_SPECIES
Ru 101.07 Ru.upf
Ca 40.08 Ca.upf
Al 26.98 Al.upf
Ta 180.95 Ta.upf
CELL_PARAMETERS angstrom
-2.2835 -4.0636 -0.4495
4.4495 -2.3999 -0.9090
0.5584 -0.8703 5.0313
ATOMIC_POSITIONS angstrom
Ru 0.0000 0.0000 0.0000
Ca 0.2792 -0.4351 2.5157
Ca 2.2247 -1.1999 -0.4545
Al -1.1418 -2.0318 -0.2247
Ta 1.3622 -3.6669 1.8365
! space group = P4/mmm
! N(E_F) = 6.00 states/eV/f.u.
! theoretical density = 5.23 g/cm³
! ΔH_f (0 K) = 1047 meV per atom

=====

! CaAlS3, optimized geometry, DFT PBEsol; values from VASP
&SYSTEM
  ibrav = 0, nat = 5, ntyp = 3
/
ATOMIC_SPECIES
Ca 40.08 Ca.upf
S 32.06 S.upf
Al 26.98 Al.upf
CELL_PARAMETERS angstrom
-2.0103 3.3139 2.5408
1.2651 -2.2041 3.8757
3.9796 2.3747 0.0515
ATOMIC_POSITIONS angstrom
Ca 1.6172 1.7423 3.2340
S 0.6325 -1.1020 1.9378
S 1.9898 1.1874 0.0257
S -1.0052 1.6570 1.2704
Al 0.0000 0.0000 0.0000
! space group = Pm-3m
! N(E_F) = 1.92 states/eV/f.u.
! formation energy without anion corrections = -1038 meV/atom
! theoretical density = 2.72 g/cm³

=====

! Ca3AlS, optimized geometry, DFT PBEsol; values from VASP
&SYSTEM
  ibrav = 0, nat = 5, ntyp = 3
/
ATOMIC_SPECIES
Ca 40.08 Ca.upf
S 32.06 S.upf
Al 26.98 Al.upf
CELL_PARAMETERS angstrom
5.2784 0.0000 0.0000
0.0000 5.2784 0.0000
0.0000 0.0000 5.2784
ATOMIC_POSITIONS angstrom
Ca 0.0000 2.6392 0.0000
Ca 0.0000 0.0000 2.6392
Ca 2.6392 0.0000 0.0000
S 0.0000 0.0000 0.0000
Al 2.6392 2.6392 2.6392
! space group = Pm-3m
! N(E_F) = 4.64 states/eV/f.u.
! formation energy without anion corrections = -778 meV/atom
! theoretical density = 2.02 g/cm³

=====

! CaAl2S4, optimized geometry, DFT PBEsol; values from VASP
&SYSTEM
  ibrav = 0, nat = 56, ntyp = 3
/
ATOMIC_SPECIES
Ca 40.08 Ca.upf
Al 26.98 Al.upf
S 32.06 S.upf
CELL_PARAMETERS angstrom
11.5927 0.0272 0.0000
-5.3987 10.2589 0.0000
-3.0970 -5.1431 9.9629
ATOMIC_POSITIONS angstrom
Ca 5.7963 0.0136 9.9218
Ca 5.7963 0.0136 0.0412
Ca 0.0000 0.0000 5.0227
Ca 3.0970 5.1431 4.9403
Ca 5.7963 0.0136 4.9815
Ca 3.0970 5.1431 0.0000
Ca -2.6993 5.1294 4.9815
Ca 0.0000 0.0000 0.0000
Al 6.1706 -3.7426 7.4602
Al -3.0974 8.8462 2.5027
Al 9.2914 1.4399 2.5027
Al -6.1706 3.7426 7.4602
Al -0.3743 3.7562 7.4842
Al 6.5920 6.5693 2.4787
Al -0.3980 3.7168 2.4787
Al 0.3743 -3.7562 7.4842
Al 3.2916 -1.4113 7.4755
Al 0.3099 7.3922 2.4875
Al 5.8841 2.8939 2.4875
Al -3.2916 1.4113 7.4755
Al 2.5047 1.4249 7.4689
Al 3.1847 8.0234 2.4940
Al 3.0092 2.2627 2.4940
Al -2.5047 -1.4249 7.4689
S -2.6438 3.5550 7.4930
S 7.4757 4.4693 2.4700
S -1.2818 5.8168 2.4700
S 2.6438 -3.5550 7.4930
S 8.4401 -3.5413 7.4515
S 1.4176 0.6874 2.5115
S 10.1751 -0.6601 2.5115
S 3.1525 3.5686 7.4515
S -4.0369 7.7051 0.7813
S 0.2028 5.1521 9.1816
S -5.6015 5.1068 9.1816
S -1.3618 2.5538 0.7813
S -4.0611 7.6832 4.2001
S 0.1948 5.1204 5.7628
S -5.5935 5.1385 5.7628
S -1.3375 2.5757 4.2001
S 1.7523 7.7204 0.7679
S 2.9070 0.0171 9.1950
S -2.9070 -0.0171 9.1950
S 4.4417 2.5657 0.7679
S 1.7424 7.6951 4.2136
S 2.8893 -0.0035 5.7494
S -2.8893 0.0035 5.7494
S 4.4516 2.5910 4.2136
S 6.0393 1.6227 7.4501
S 7.1048 0.9811 2.5128
S 4.4878 -0.9539 2.5128
S 5.5533 -1.5955 7.4501
S -0.2430 -1.6091 7.4943
S 1.7885 4.1756 2.4686
S 4.4055 6.1105 2.4686
S 0.2430 1.6091 7.4943
! space group = Fddd
! N(E_F) = 0.00 states/eV/f.u.
! formation energy without anion corrections = -1428 meV/atom
! theoretical density = 2.49 g/cm³

=====

! CaAl2TeS, optimized geometry, DFT PBEsol; values from VASP
&SYSTEM
  ibrav = 0, nat = 5, ntyp = 4
/
ATOMIC_SPECIES
Ca 40.08 Ca.upf
Te 127.60 Te.upf
S 32.06 S.upf
Al 26.98 Al.upf
CELL_PARAMETERS angstrom
-1.4707 -1.6282 4.8610
-1.3259 -4.6896 -1.9719
4.8764 -1.7523 0.8884
ATOMIC_POSITIONS angstrom
Ca 1.0399 -4.0350 1.8888
Te 0.0000 0.0000 0.0000
S -0.7353 -0.8141 2.4305
Al 2.4382 -0.8761 0.4442
Al -0.6629 -2.3448 -0.9860
! space group = P4/mmm
! N(E_F) = 3.29 states/eV/f.u.
! formation energy without anion corrections = 360 meV/atom
! theoretical density = 2.86 g/cm³

=====

! Ca11AlSb9, optimized geometry, DFT PBEsol; values from VASP
&SYSTEM
  ibrav = 0, nat = 42, ntyp = 3
/
ATOMIC_SPECIES
Ca 40.08 Ca.upf
Al 26.98 Al.upf
Sb 121.76 Sb.upf
CELL_PARAMETERS angstrom
-5.8906 1.0182 -10.0497
0.2739 -8.9020 -7.8653
-9.9916 -6.2339 -1.5779
ATOMIC_POSITIONS angstrom
Ca -9.2980 -9.5664 -6.9142
Ca -7.6400 -10.1640 -12.3680
Ca -13.8038 -8.6517 -10.9833
Ca -9.0248 -10.0604 -18.3486
Ca -7.6255 -7.1189 -4.0231
Ca -8.0870 -7.4388 -15.4533
Ca -11.1133 -6.4688 -8.7158
Ca -4.5993 -8.0889 -10.7606
Ca -2.4069 -4.7095 -3.3675
Ca -5.7926 -4.0182 -6.3163
Ca -11.4305 -11.4514 -12.3671
Ca -12.3773 -11.3939 -16.8097
Ca -9.7033 -15.0750 -9.4455
Ca -7.7897 -6.9980 -9.7487
Ca -11.4814 -6.7811 -5.0632
Ca -4.4716 -8.7914 -14.3751
Ca -10.3851 -7.3224 -12.5635
Ca -5.5679 -8.2501 -6.8748
Ca -4.8942 -4.9947 -12.4765
Ca -9.4344 -3.7217 -7.2192
Ca -2.4246 -5.3802 -7.1604
Ca -6.0135 -4.3544 -2.4856
Al -6.9572 -3.4839 -9.8807
Al -8.8708 -11.5610 -9.5774
Sb -15.6248 -11.6719 -17.2500
Sb -8.6450 -13.1229 -11.8536
Sb -5.0121 -5.3431 -9.2236
Sb -9.5399 -4.3159 -10.4367
Sb -12.7686 -9.0569 -14.3273
Sb -10.0754 -9.7203 -15.0022
Sb -2.6917 -2.5888 -5.9729
Sb -4.5441 -2.0708 -3.8636
Sb -6.1232 -1.9093 -11.9672
Sb -6.9621 -1.5588 -7.9256
Sb -10.3972 -9.3729 -10.2182
Sb -6.5152 -10.2494 -9.0680
Sb -6.9973 -7.2056 -12.6553
Sb -8.5422 -6.6215 -6.8485
Sb -2.5606 -8.1023 -8.5439
Sb -12.9789 -5.7248 -10.9599
Sb -12.3638 -13.3636 -14.5155
Sb -4.5596 -6.3048 -4.7690
! space group = Iba2
! formation energy without anion corrections = -1013 meV/atom
! theoretical density = 4.34 g/cm³

=====

! CaAlSb2, optimized geometry, DFT PBEsol; values from VASP
&SYSTEM
  ibrav = 0, nat = 4, ntyp = 3
/
ATOMIC_SPECIES
Sb 121.76 Sb.upf
Ca 40.08 Ca.upf
Al 26.98 Al.upf
CELL_PARAMETERS angstrom
3.9921 0.0000 0.0000
0.0000 4.8142 -0.0457
-1.9960 -1.5686 5.1683
ATOMIC_POSITIONS angstrom
Sb 0.0000 0.1202 0.0817
Sb 1.9960 0.4631 2.6834
Ca 0.0000 2.8421 2.5100
Al 0.0000 0.6587 4.9930
! space group = Cm
! N(E_F) = 1.74 states/eV/f.u.
! formation energy without anion corrections = -326 meV/atom
! theoretical density = 5.21 g/cm³

=====

! Ca3AlSb3, optimized geometry, DFT PBEsol; values from VASP
&SYSTEM
  ibrav = 0, nat = 28, ntyp = 3
/
ATOMIC_SPECIES
Ca 40.08 Ca.upf
Al 26.98 Al.upf
Sb 121.76 Sb.upf
CELL_PARAMETERS angstrom
-3.5528 2.6924 0.3506
-1.1643 -3.1429 12.3368
8.4532 10.6957 3.5226
ATOMIC_POSITIONS angstrom
Ca 1.9995 7.1822 7.8775
Ca 1.7366 3.0630 8.3325
Ca 3.7391 8.5484 15.0134
Ca -0.0030 1.6968 1.1966
Ca -3.3868 0.0202 8.2964
Ca 7.1229 10.2250 7.9136
Ca 1.3528 6.8519 3.8605
Ca 2.3833 3.3933 12.3495
Ca 1.1539 2.8015 4.4361
Ca 2.5822 7.4437 11.7739
Ca 0.0789 0.6065 10.3991
Ca 3.6572 9.6387 5.8109
Al -1.4538 2.8295 6.3112
Al 5.1899 7.4157 9.8988
Al -1.2378 2.2679 12.8122
Al 4.9739 7.9773 3.3979
Sb -1.9502 2.5194 3.6623
Sb 5.6863 7.7259 12.5478
Sb -0.2978 3.7752 10.7618
Sb 4.0340 6.4700 5.4482
Sb 0.1979 4.9977 6.3973
Sb 3.5382 5.2476 9.8128
Sb -2.7801 0.3949 11.5673
Sb 6.5162 9.8503 4.6427
Sb 3.9974 9.6815 8.9297
Sb -0.2613 0.5637 7.2803
Sb 1.7013 5.9415 14.3839
Sb 2.0348 4.3038 1.8261
! space group = Pnma
! N(E_F) = 0.05 states/eV/f.u.
! formation energy without anion corrections = -853 meV/atom
! theoretical density = 4.23 g/cm³

=====

! CaAlSb, optimized geometry, DFT PBEsol; values from VASP
&SYSTEM
  ibrav = 0, nat = 3, ntyp = 3
/
ATOMIC_SPECIES
Sb 121.76 Sb.upf
Ca 40.08 Ca.upf
Al 26.98 Al.upf
CELL_PARAMETERS angstrom
5.0604 0.0000 0.0000
2.5302 4.3824 0.0000
2.5302 1.4608 4.1318
ATOMIC_POSITIONS angstrom
Sb 7.5906 4.3824 3.0989
Ca 5.0604 2.9216 2.0659
Al 0.0000 0.0000 0.0000
! space group = F-43m
! N(E_F) = 2.24 states/eV/f.u.
! formation energy without anion corrections = -122 meV/atom
! theoretical density = 3.42 g/cm³

=====

! CaAlSb2, optimized geometry, DFT PBEsol; values from VASP
&SYSTEM
  ibrav = 0, nat = 4, ntyp = 3
/
ATOMIC_SPECIES
Sb 121.76 Sb.upf
Ca 40.08 Ca.upf
Al 26.98 Al.upf
CELL_PARAMETERS angstrom
-3.4022 -1.8815 -0.6873
0.8682 -2.6059 2.8360
-2.9091 3.6947 4.2856
ATOMIC_POSITIONS angstrom
Sb -2.2260 2.8272 3.2793
Sb -0.6831 0.8676 1.0063
Ca -2.7215 -0.3963 3.2171
Al -1.2670 -2.2437 1.0743
! space group = P4/mmm
! N(E_F) = 2.23 states/eV/f.u.
! formation energy without anion corrections = -319 meV/atom
! theoretical density = 5.20 g/cm³

=====

! Ca2ScAl, optimized geometry, DFT PBEsol; values from VASP
&SYSTEM
  ibrav = 0, nat = 4, ntyp = 3
/
ATOMIC_SPECIES
Sc 44.96 Sc.upf
Ca 40.08 Ca.upf
Al 26.98 Al.upf
CELL_PARAMETERS angstrom
-2.4026 -2.4327 0.0816
1.9858 -2.0254 -1.9109
3.9044 -3.5925 7.8649
ATOMIC_POSITIONS angstrom
Sc -0.2084 -2.2290 -0.9147
Ca 2.8055 -2.5813 5.6513
Ca 1.0989 -1.0111 2.2136
Al 1.7438 -4.0253 3.0178
! space group = P4/mmm
! N(E_F) = 5.68 states/eV/f.u.
! theoretical density = 2.28 g/cm³
! ΔH_f (0 K) = 48 meV per atom

=====

! CaScAl4, optimized geometry, DFT PBEsol; values from VASP
&SYSTEM
  ibrav = 0, nat = 6, ntyp = 3
/
ATOMIC_SPECIES
Sc 44.96 Sc.upf
Ca 40.08 Ca.upf
Al 26.98 Al.upf
CELL_PARAMETERS angstrom
-5.0226 -1.9964 -0.7970
-0.6556 -5.1655 -1.6537
-2.0334 -3.7305 3.4345
ATOMIC_POSITIONS angstrom
Sc 0.0000 0.0000 0.0000
Ca -5.7837 -8.1693 0.7379
Al -2.8885 -4.0799 0.3685
Al -3.9088 -5.9516 2.0917
Al -5.4085 -5.0816 -0.0313
Al -3.2175 -6.6717 -0.4612
! space group = F-43m
! N(E_F) = 3.35 states/eV/f.u.
! theoretical density = 2.78 g/cm³
! ΔH_f (0 K) = -373 meV per atom

=====

! CaSc4Al, optimized geometry, DFT PBEsol; values from VASP
&SYSTEM
  ibrav = 0, nat = 6, ntyp = 3
/
ATOMIC_SPECIES
Al 26.98 Al.upf
Ca 40.08 Ca.upf
Sc 44.96 Sc.upf
CELL_PARAMETERS angstrom
5.9246 0.0000 0.0000
2.9623 5.1308 0.0000
2.9623 1.7103 4.8374
ATOMIC_POSITIONS angstrom
Al 8.8869 5.1308 3.6281
Ca 0.0000 0.0000 0.0000
Sc 4.4540 2.5715 1.8183
Sc 5.9246 3.4206 4.2198
Sc 7.3952 2.5715 1.8183
Sc 5.9246 5.1186 1.8183
! space group = F-43m
! N(E_F) = 5.56 states/eV/f.u.
! theoretical density = 2.79 g/cm³
! ΔH_f (0 K) = 210 meV per atom

=====

! Ca2ScAl, optimized geometry, DFT PBEsol; values from VASP
&SYSTEM
  ibrav = 0, nat = 4, ntyp = 3
/
ATOMIC_SPECIES
Sc 44.96 Sc.upf
Ca 40.08 Ca.upf
Al 26.98 Al.upf
CELL_PARAMETERS angstrom
5.2759 0.0000 0.0000
2.6380 4.5691 0.0000
2.6380 1.5230 4.3078
ATOMIC_POSITIONS angstrom
Sc 2.6380 1.5230 1.0769
Ca 0.0000 0.0000 0.0000
Ca 7.9139 4.5691 3.2308
Al 5.2759 3.0460 2.1539
! space group = F-43m
! N(E_F) = 3.81 states/eV/f.u.
! theoretical density = 2.43 g/cm³
! ΔH_f (0 K) = 10 meV per atom

=====

! Ca2ScAl, optimized geometry, DFT PBEsol; values from VASP
&SYSTEM
  ibrav = 0, nat = 4, ntyp = 3
/
ATOMIC_SPECIES
Sc 44.96 Sc.upf
Ca 40.08 Ca.upf
Al 26.98 Al.upf
CELL_PARAMETERS angstrom
-1.7478 -4.2207 1.1475
1.2798 0.6881 4.4804
-3.9920 3.7611 -1.9132
ATOMIC_POSITIONS angstrom
Sc -0.2340 -1.7663 2.8140
Ca -2.9869 -1.1129 1.0241
Ca -1.4731 1.3415 2.6906
Al 0.0000 0.0000 0.0000
! space group = I4/mmm
! N(E_F) = 3.28 states/eV/f.u.
! theoretical density = 2.39 g/cm³
! ΔH_f (0 K) = 48 meV per atom

=====

! CaAl2Se, optimized geometry, DFT PBEsol; values from VASP
&SYSTEM
  ibrav = 0, nat = 4, ntyp = 3
/
ATOMIC_SPECIES
Ca 40.08 Ca.upf
Al 26.98 Al.upf
Se 78.96 Se.upf
CELL_PARAMETERS angstrom
3.7233 0.0000 0.0000
0.0000 4.2681 0.0500
0.0000 -1.7136 5.5687
ATOMIC_POSITIONS angstrom
Ca 1.8617 -0.8568 2.7843
Al 0.0000 0.0000 0.0000
Al 1.8617 2.1341 0.0250
Se 0.0000 1.2772 2.8093
! space group = P2/m
! N(E_F) = 1.68 states/eV/f.u.
! formation energy without anion corrections = -476 meV/atom
! theoretical density = 3.23 g/cm³

=====

! CaAl2Se, optimized geometry, DFT PBEsol; values from VASP
&SYSTEM
  ibrav = 0, nat = 4, ntyp = 3
/
ATOMIC_SPECIES
Ca 40.08 Ca.upf
Al 26.98 Al.upf
Se 78.96 Se.upf
CELL_PARAMETERS angstrom
-3.1374 2.2748 1.0154
0.2063 -1.4320 3.7357
4.9209 3.7208 -0.9785
ATOMIC_POSITIONS angstrom
Ca 0.0000 0.0000 0.0000
Al 0.8918 2.9978 0.0184
Al 2.5636 1.1444 1.3786
Se -1.4655 0.4214 2.3755
! space group = Fmmm
! N(E_F) = 1.28 states/eV/f.u.
! formation energy without anion corrections = -520 meV/atom
! theoretical density = 3.21 g/cm³

=====

! CaAlSi2, optimized geometry, DFT PBEsol; values from VASP
&SYSTEM
  ibrav = 0, nat = 4, ntyp = 3
/
ATOMIC_SPECIES
Ca 40.08 Ca.upf
Si 28.09 Si.upf
Al 26.98 Al.upf
CELL_PARAMETERS angstrom
-0.6139 -0.8799 3.5376
-2.3281 -2.4662 -2.9489
5.0213 -2.3307 0.2916
ATOMIC_POSITIONS angstrom
Ca -0.3879 -2.4175 1.2629
Si 1.7213 -5.3071 0.9101
Si 2.4596 -3.2633 -0.3849
Al 2.5693 -1.9712 1.8871
! space group = Cm
! N(E_F) = 1.58 states/eV/f.u.
! formation energy without anion corrections = -123 meV/atom
! theoretical density = 2.55 g/cm³

=====

! CaAlSi2, optimized geometry, DFT PBEsol; values from VASP
&SYSTEM
  ibrav = 0, nat = 4, ntyp = 3
/
ATOMIC_SPECIES
Ca 40.08 Ca.upf
Si 28.09 Si.upf
Al 26.98 Al.upf
CELL_PARAMETERS angstrom
-2.4248 1.5069 2.8850
1.6909 -2.4908 2.7222
3.3270 3.5021 -1.8881
ATOMIC_POSITIONS angstrom
Ca 0.0000 0.0000 0.0000
Si 0.2677 2.2586 1.9003
Si 2.3255 0.2597 1.8189
Al -0.3669 -0.4919 2.8036
! space group = I4/mmm
! N(E_F) = 1.66 states/eV/f.u.
! formation energy without anion corrections = -59 meV/atom
! theoretical density = 2.88 g/cm³

=====

no.,volume (Å³/f.u.),magnetization (μB/atom)
1,68,0.00
2,70,0.00
3,64,0.00
4,71,0.00
5,124,0.49
6,100,0.00
7,147,0.00
8,148,0.00
9,147,0.00
10,599,0.00
11,99,0.00
12,201,0.00
13,92,0.00
14,99,0.00
15,111,0.13
16,115,0.00
17,147,0.00
18,104,0.00
19,106,0.00
20,89,0.00
21,89,0.00
22,80,0.00
23,71,0.00